No. 1
Entry from Alexandria via LeMat-Bulk: Tm8Ag2Os after structural relaxation (PBE).

Geometry as extended XYZ:
```
11
Lattice="3.818 -7.628 0.000 3.818 7.628 0.000 -3.289 0.000 5.081" Properties=species:S:1:pos:R:3 pbc="T T T"
Tm 0.000 0.000 0.000
Tm 1.703 2.876 0.709
Tm 2.376 5.833 2.460
Tm 1.409 1.735 4.337
Tm 1.703 -2.876 0.709
Tm 3.083 0.000 1.952
Tm 1.409 -1.735 4.337
Tm 2.376 -5.833 2.460
Ag 3.774 3.196 3.266
Ag 3.774 -3.196 3.266
Os -0.750 0.000 4.450
```

Summary:
As for the energy above the most stable polymorph in this dataset: 87 meV per atom. The value obtained for the formation energy is -0.122 eV per atom.

=====

No. 2
Entry from Alexandria via LeMat-Bulk: Tm7Ag2Os2 after structural relaxation (PBE).

Geometry as extended XYZ:
```
11
Lattice="4.007 -5.263 0.000 4.007 5.263 0.000 0.000 0.000 6.963" Properties=species:S:1:pos:R:3 pbc="T T T"
Tm 0.000 0.000 0.000
Tm 2.004 2.631 1.765
Tm 2.004 2.631 5.198
Tm 2.004 -2.631 1.765
Tm 2.004 -2.631 5.198
Tm 4.007 0.000 1.699
Tm 4.007 0.000 5.264
Ag 1.442 0.000 3.481
Ag 6.573 0.000 3.481
Os 4.007 2.224 0.000
Os 4.007 -2.224 0.000
```

Summary:
The value obtained for the formation energy is -0.160 eV per atom.

=====

No. 3
Entry from Alexandria via LeMat-Bulk: Tm8Ag2Os after structural relaxation (PBE).

Geometry as extended XYZ:
```
11
Lattice="8.567 -2.564 0.000 8.567 2.564 0.000 -2.180 0.000 6.437" Properties=species:S:1:pos:R:3 pbc="T T T"
Tm -0.180 0.000 1.912
Tm 1.638 0.000 5.159
Tm 4.648 0.000 3.441
Tm 6.845 0.000 0.457
Tm 8.110 0.000 5.979
Tm 10.307 0.000 2.995
Tm 13.317 0.000 1.277
Tm 15.135 0.000 4.524
Ag 2.674 0.000 1.334
Ag 12.281 0.000 5.103
Os 7.477 0.000 3.218
```

Summary:
As for the energy above the most stable polymorph in this dataset: 0 meV per atom. The value obtained for the formation energy is -0.209 eV per atom.

=====

No. 4
Entry from Alexandria via LeMat-Bulk: Tm3AgOs2 after structural relaxation (PBE).

Geometry as extended XYZ:
```
6
Lattice="3.376 0.000 0.000 0.000 3.376 0.000 0.000 0.000 10.757" Properties=species:S:1:pos:R:3 pbc="T T T"
Tm 0.000 0.000 0.000
Tm 0.000 0.000 3.316
Tm 0.000 0.000 7.441
Ag 1.688 1.688 5.379
Os 1.688 1.688 1.748
Os 1.688 1.688 9.010
```

Summary:
The value obtained for the formation energy is -0.324 eV per atom.